Computed, not measured: a relaxed structure of MnTlF3 at the PBE with a Hubbard U level of DFT.

Cell: 3.7520 6.9986 7.5881 Å, 90.00 90.28 90.00°
Fractional positions:
Mn  0.2489  0.2500  0.1418
Mn  0.7511  0.7500  0.8582
Tl  0.2509  0.2500  0.6295
Tl  0.7491  0.7500  0.3705
F  0.2492  0.0364  0.3166
F  0.2492  0.4636  0.3166
F  0.2523  0.7500  0.9714
F  0.7477  0.2500  0.0286
F  0.7508  0.5364  0.6834
F  0.7508  0.9636  0.6834

Properties
The calculation puts the total energy at -5.30 eV/atom.